(1)
Computed, not measured: a PBEsol-optimized structure of AlIrPd2Pt at the SCAN level of DFT.

Lattice parameters (Å, degrees): 4.346 4.346 4.446 90.00 90.00 90.00
Space group P4/mmm (No. 123)
One atom of each set of equivalent atoms:
Al: 0.000 0.000 0.000 x1
Ir: 0.500 0.500 0.500 x1
Pd: 0.000 0.500 0.000 x2
Pt: 0.000 0.000 0.500 x1

Computed properties:
density of states at the Fermi level = 3.9 states/eV/f.u.
energy of formation from the pure elements = 0.789 eV/atom

=====

(2)
Computed, not measured: a PBEsol-optimized structure of Na5WNO4 at the SCAN level of DFT.

Lattice parameters (Å, degrees): 9.818 5.788 10.578 90.00 90.00 90.00
Space group Cmc2_1 (No. 36)
One atom of each set of equivalent atoms:
Na: 0.000 0.089 0.000 x4
Na: 0.183 0.153 0.231 x8
Na: 0.190 0.482 0.481 x8
W: 0.000 0.291 0.715 x4
N: 0.000 0.406 0.183 x4
O: 0.135 0.224 0.846 x8
O: 0.137 0.168 0.601 x8

Computed properties:
density of states at the Fermi level = 0.0 states/eV/f.u.
E_form (uncorrected) = -39.55 kcal/mol of atoms